A relaxed structure of Hf2PtSeS. Source: Alexandria, functional PBE.

size of the total moment: 0.0000 μB/atom
formation energy from raw total energies: -236 meV per atom

abc: 4.821 4.821 4.406
angles: 90.00 90.00 90.00
Space group P4/mmm (No. 123)
Inequivalent atoms, fractional coordinates:
1 Hf 0.000 0.500 0.000 (multiplicity 2)
2 Pt 0.000 0.000 0.500 (multiplicity 1)
3 Se 0.500 0.500 0.500 (multiplicity 1)
4 S 0.000 0.000 0.000 (multiplicity 1)